ErGa4Ni6 | PBE | relaxed

```
ErGa4Ni6
1.0
6.189 -0.183 -0.269
-3.024 5.403 0.269
-3.024 -1.737 5.124
Ga Er Ni
4 1 6
Direct
0.403 0.894 0.894 Ga
0.000 0.106 0.509 Ga
0.000 0.509 0.106 Ga
0.597 0.491 0.491 Ga
0.000 0.000 0.000 Er
0.677 0.255 0.255 Ni
0.500 0.000 0.500 Ni
0.500 0.500 0.000 Ni
0.323 0.578 0.578 Ni
0.000 0.745 0.422 Ni
0.000 0.422 0.745 Ni
```

Results
E_tot in eV per atom: -4.9160
N(E_F) in states/eV/cell: 9.4